{"formula": "Pr2NdSmBi5", "functional": "GGA-PBE", "state": "optimized geometry", "cell": [[-4.651, 1.590, 2.612], [-0.118, -4.844, 2.740], [6.647, 4.859, 8.879]], "species": ["Pr", "Pr", "Nd", "Sm", "Bi", "Bi", "Bi", "Bi", "Bi"], "fractional_positions": [[0.500, 0.500, 0.274], [0.500, 0.500, 0.726], [0.000, 0.000, 0.500], [0.000, 0.000, 0.000], [0.000, 0.500, 0.500], [0.500, 0.000, 0.500], [0.000, 0.000, 0.755], [0.000, 0.000, 0.245], [0.500, 0.500, 0.000]], "energy_ev_per_atom": -4.338, "formation_enthalpy_0k_ev_per_atom": -0.066, "magmom_total_mub_per_cell": 0.00, "n_ef_per_ev_cell": 6.39}


{"formula": "DyErSnHg", "functional": "GGA-PBE", "state": "optimized geometry", "cell": [[5.263, 0.000, 0.000], [2.632, 4.558, 0.000], [2.632, 1.519, 4.297]], "species": ["Dy", "Hg", "Sn", "Er"], "fractional_positions": [[0.000, 0.000, 0.000], [0.750, 0.750, 0.750], [0.250, 0.250, 0.250], [0.500, 0.500, 0.500]], "energy_ev_per_atom": -3.914, "formation_enthalpy_0k_ev_per_atom": -0.546, "magmom_total_mub_per_cell": 0.00, "n_ef_per_ev_cell": 3.05}


{"formula": "Zr2Se3S3", "functional": "GGA-PBE", "state": "optimized geometry", "cell": [[-1.568, -1.471, 3.052], [4.427, -2.967, 0.845], [4.819, 6.703, 5.707]], "species": ["Zr", "Zr", "Se", "Se", "Se", "S", "S", "S"], "fractional_positions": [[0.500, 0.282, 0.350], [0.000, 0.720, 0.652], [0.000, 0.521, 0.175], [0.500, 0.762, 0.449], [0.000, 0.241, 0.555], [0.500, 0.879, 0.807], [0.000, 0.103, 0.206], [0.500, 0.493, 0.806]], "energy_ev_per_atom": -6.097, "e_form_raw_ev_per_atom": -1.11, "magmom_total_mub_per_cell": 0.00}


> Which formula does entry 3 have?

Zr2Se3S3